Below is a PBEsol-optimized structure of NdTe, with properties calculated at the SCAN level.

## Properties
ρ: 7.339 Mg/m³
size of the total moment: 0.00 μB per formula unit
DOS(E_F): 0.515 states/eV per atom
formation energy from raw total energies: -1574.1 meV/atom
final energy: -41.9907 eV per atom

```
data_NdTe
_cell_length_a 4.4309
_cell_length_b 4.4309
_cell_length_c 4.4309
_cell_angle_alpha 60.00
_cell_angle_beta 60.00
_cell_angle_gamma 60.00
_symmetry_space_group_name_H-M 'P 1'
_symmetry_Int_Tables_number 1
_symmetry_space_group_name_Hall 'P 1'
loop_
_atom_site_label
_atom_site_fract_x
_atom_site_fract_y
_atom_site_fract_z
Te1 0.5000 0.5000 0.5000
Nd1 0.0000 0.0000 0.0000
```